A geometry-optimized Tb7PmSm2 structure, computed with GGA-PBE.

Cell and atoms, written as extended XYZ:
```
10
Lattice="-0.563 1.994 4.668 -6.529 -7.038 2.219 9.774 -0.151 1.245" Properties=species:S:1:pos:R:3 pbc="T T T"
Tb 1.340 -2.597 4.066
Sm 4.627 -1.209 3.869
Sm -1.947 -3.986 4.262
Tb 2.053 0.427 2.859
Tb -1.437 -1.047 3.068
Tb -3.340 -5.691 2.029
Tb 0.627 -5.622 5.272
Pm 0.000 0.000 0.000
Tb 6.584 -1.498 1.435
Tb 4.118 -4.148 5.063
```

energy above the most stable polymorph in this dataset: 0.662 eV/atom
formation enthalpy at 0 K: 0.679 eV/atom
total magnetization: 0.00 μB per formula unit

=====

A geometry-optimized Ta2TePtW structure, computed with GGA-PBE.

Cell and atoms, written as extended XYZ:
```
5
Lattice="4.917 0.000 0.000 0.000 4.863 0.000 0.000 0.000 4.917" Properties=species:S:1:pos:R:3 pbc="T T T"
Ta 0.000 0.000 2.459
Ta 2.459 0.000 0.000
Pt 0.000 0.000 0.000
W 0.000 2.431 0.000
Te 2.459 2.431 2.459
```

energy above the most stable polymorph in this dataset: 0.000 eV/atom
total magnetization: 0.00 μB per formula unit

=====

A geometry-optimized Co3ReIr4 structure, computed with GGA-PBE.

Cell and atoms, written as extended XYZ:
```
8
Lattice="-2.829 -1.142 2.242 0.426 -4.269 1.560 1.620 2.339 6.432" Properties=species:S:1:pos:R:3 pbc="T T T"
Co -0.574 -2.321 7.684
Ir -1.289 -3.080 3.199
Co -0.392 -1.536 5.117
Ir 0.702 0.773 4.476
Co -0.209 -0.751 2.550
Ir -1.485 -3.844 5.758
Re 0.000 0.000 0.000
Ir 0.506 0.008 7.036
```

formation enthalpy at 0 K: -0.023 eV/atom
total magnetization: 3.34 μB per formula unit

=====

A geometry-optimized Zn2TeOs structure, computed with GGA-PBE.

Cell and atoms, written as extended XYZ:
```
4
Lattice="-4.792 6.261 6.510 -6.385 3.831 7.007 -3.855 4.258 8.459" Properties=species:S:1:pos:R:3 pbc="T T T"
Te -11.274 10.762 16.482
Os -3.758 3.587 5.494
Zn -7.763 7.411 11.349
Zn -14.785 14.114 21.614
```

final energy: -3.756 eV per atom
total magnetization: 0.00 μB per formula unit

=====

A geometry-optimized NiAg2Rh structure, computed with GGA-PBE.

Cell and atoms, written as extended XYZ:
```
4
Lattice="-2.695 -0.631 0.136 0.812 -3.994 -2.444 0.991 -3.547 3.195" Properties=species:S:1:pos:R:3 pbc="T T T"
Ag -0.942 -2.312 -1.154
Rh 0.902 -3.770 0.375
Ni -0.852 -2.089 1.665
Ag 0.000 0.000 0.000
```

energy above the most stable polymorph in this dataset: 0.125 eV/atom
formation enthalpy at 0 K: 0.274 eV/atom
total magnetization: 0.93 μB per formula unit

=====

A geometry-optimized K3Er3BiS8 structure, computed with GGA-PBE.

Cell and atoms, written as extended XYZ:
```
15
Lattice="-4.807 0.679 -6.342 -0.942 -6.079 5.094 -2.529 7.961 2.767" Properties=species:S:1:pos:R:3 pbc="T T T"
S -2.554 -0.663 1.865
K 0.000 0.000 0.000
K -0.471 -3.039 2.547
Er -4.139 1.280 0.760
S -4.472 2.700 -3.846
S -3.806 -0.140 5.366
S -4.940 -0.317 -1.318
Bi -1.264 3.980 1.384
S -5.725 3.224 -0.346
Er -1.736 0.941 3.931
S -6.191 0.198 2.218
K -2.875 -2.700 -0.624
S -3.338 2.878 2.837
S -2.087 2.363 -0.699
Er -3.668 4.320 -1.788
```

final energy: -5.123 eV per atom
total magnetization: 0.00 μB per formula unit

=====

Please write out number 2 again, unchanged.
A geometry-optimized Ta2TePtW structure, computed with GGA-PBE.

Cell and atoms, written as extended XYZ:
```
5
Lattice="4.917 0.000 0.000 0.000 4.863 0.000 0.000 0.000 4.917" Properties=species:S:1:pos:R:3 pbc="T T T"
Ta 0.000 0.000 2.459
Ta 2.459 0.000 0.000
Pt 0.000 0.000 0.000
W 0.000 2.431 0.000
Te 2.459 2.431 2.459
```

energy above the most stable polymorph in this dataset: 0.000 eV/atom
total magnetization: 0.00 μB per formula unit

=====

Copy entry 2 word for word.
A geometry-optimized Ta2TePtW structure, computed with GGA-PBE.

Cell and atoms, written as extended XYZ:
```
5
Lattice="4.917 0.000 0.000 0.000 4.863 0.000 0.000 0.000 4.917" Properties=species:S:1:pos:R:3 pbc="T T T"
Ta 0.000 0.000 2.459
Ta 2.459 0.000 0.000
Pt 0.000 0.000 0.000
W 0.000 2.431 0.000
Te 2.459 2.431 2.459
```

energy above the most stable polymorph in this dataset: 0.000 eV/atom
total magnetization: 0.00 μB per formula unit

=====

total magnetization of number 1 (Tb7PmSm2)? 0.00 μB per formula unit